Entry from Alexandria: a crystal of EuTl2Pd relaxed with PBEsol (SCAN).

Structure (CIF):
```
data_EuTl2Pd
_chemical_formula_sum 'Eu4 Tl8 Pd4'
_space_group_name_H-M_alt 'C m c m'
_space_group_IT_number 63
_space_group_name_Hall '-C 2c 2'
_cell_length_a 4.422
_cell_length_b 10.697
_cell_length_c 8.037
_cell_angle_alpha 90.00
_cell_angle_beta 90.00
_cell_angle_gamma 90.00
loop_
_atom_site_label
_atom_site_fract_x
_atom_site_fract_y
_atom_site_fract_z
Eu1 0.000 0.068 0.250
Tl1 0.000 0.358 0.050
Pd1 0.000 0.217 0.750
```

Properties
**DFT formation energy**: -0.52 eV/atom
**Spin magnetization**: 7.2 μB/f.u.
**DOS(E_F)**: 35.4 states/eV/cell
**Total energy**: -58.317 eV/atom